The following is a DFT calculation (PBE) of a geometry-optimized Nd4Hf structure.

It has space group Pm-3m (No. 221), with a = 5.763 Å, b = 5.763 Å, c = 5.763 Å, α = 90.00°, β = 90.00° and γ = 90.00°. The asymmetric unit holds Nd at (0.000, 0.000, 0.000), Nd at (0.000, 0.500, 0.500) and Hf at (0.500, 0.500, 0.500).

The value obtained for the density of states at the Fermi level is 6.62 states/eV/cell. As for the formation energy: 580 meV per atom. The value obtained for the calculated density is 6.55 g cm⁻³.



The following is a DFT calculation (PBE) of a geometry-optimized HfTi2HRh structure.

It has space group P4/mmm (No. 123), with a = 3.883 Å, b = 3.883 Å, c = 4.682 Å, α = 90.00°, β = 90.00° and γ = 90.00°. The asymmetric unit holds Hf at (0.000, 0.000, 0.000), Ti at (0.000, 0.500, 0.500), H at (0.000, 0.000, 0.500) and Rh at (0.500, 0.500, 0.000).

The value obtained for the density of states at the Fermi level is 6.15 states/eV/cell. Its polymorph energy (0 for the lowest one) is 0 meV/atom. The value obtained for the calculated density is 8.90 g cm⁻³.



The following is a DFT calculation (PBE) of a geometry-optimized Cs2VZnS4 structure.

It has space group Fddd (No. 70, origin choice 2), with a = 5.765 Å, b = 14.167 Å, c = 25.036 Å, α = 90.00°, β = 90.00° and γ = 90.00°. The asymmetric unit holds Cs at (0.125, 0.125, 0.301), V at (0.125, 0.125, 0.625), Zn at (0.125, 0.125, 0.125) and S at (0.109, 0.285, 0.825).

For the raw total energy, the calculation gives -296.8 eV per cell. The value obtained for the density of states at the Fermi level is 27.83 states/eV/cell. The value obtained for the calculated density is 3.32 g cm⁻³.